No. 1
The following is a PBE calculation of crystalline Sm10Ge3Pb3 at its relaxed geometry, from the Alexandria database.

The structure in POSCAR format:
```
Sm10Ge3Pb3
1.0
9.004 0.000 0.000
-4.502 7.797 0.000
0.000 0.000 6.719
Sm Ge Pb
10 3 3
Cartesian
-1.084 1.877 0.000 Sm
-3.425 5.932 3.360 Sm
1.077 1.866 3.360 Sm
2.168 0.000 0.000 Sm
0.000 5.198 1.601 Sm
0.000 5.198 5.118 Sm
4.502 2.599 1.601 Sm
4.502 2.599 5.118 Sm
3.418 5.920 0.000 Sm
6.850 0.000 3.360 Sm
-2.744 4.753 0.000 Ge
1.758 3.045 0.000 Ge
5.488 0.000 0.000 Ge
-1.791 3.103 3.360 Pb
3.583 0.000 3.360 Pb
2.710 4.695 3.360 Pb
```

Properties
space group: P-62m
total moment: 0.0000 μB per atom
energy of formation from the pure elements: -0.616 eV per atom
volume: 29.5 A^3/atom
energy: -5.127 eV/atom

***

No. 2
The following is a PBE calculation of crystalline Sm3Ge2Pb at its relaxed geometry, from the Alexandria database.

The structure in POSCAR format:
```
Sm3Ge2Pb
1.0
4.009 2.315 6.312
-4.009 2.315 6.312
0.000 -4.629 6.312
Sm Ge Pb
6 4 2
Cartesian
-2.758 -0.147 7.890 Sm
-1.251 -2.462 11.046 Sm
1.506 -2.315 7.890 Sm
-1.506 2.315 11.046 Sm
1.251 2.462 7.890 Sm
2.758 0.147 11.046 Sm
0.000 0.000 3.053 Ge
0.000 0.000 6.415 Ge
0.000 0.000 12.522 Ge
0.000 0.000 15.883 Ge
0.000 0.000 0.000 Pb
0.000 0.000 9.468 Pb
```

Properties
space group: R-3c
total moment: 0.0000 μB per atom
energy above the most stable polymorph in this dataset: 0.000 eV/atom
energy of formation from the pure elements: -0.643 eV per atom
volume: 29.3 A^3/atom
energy: -5.160 eV/atom

***

No. 3
The following is a PBE calculation of crystalline Sm6Ge2Pb at its relaxed geometry, from the Alexandria database.

The structure in POSCAR format:
```
Sm6Ge2Pb
1.0
-4.872 5.015 5.329
4.872 -5.015 5.329
4.872 5.015 -5.329
Sm Ge Pb
12 4 2
Cartesian
4.872 2.949 -2.751 Sm
2.709 1.867 0.000 Sm
7.035 1.867 0.000 Sm
1.997 5.015 -1.898 Sm
2.875 0.000 3.431 Sm
0.000 2.066 2.577 Sm
4.872 2.949 2.751 Sm
1.997 5.015 1.898 Sm
2.875 0.000 7.226 Sm
-2.163 3.148 5.329 Sm
2.163 3.148 5.329 Sm
0.000 2.066 8.080 Sm
4.872 0.000 1.269 Ge
0.000 3.675 0.000 Ge
0.000 6.356 0.000 Ge
0.000 5.015 4.060 Ge
0.000 0.000 0.000 Pb
0.000 0.000 5.329 Pb
```

Properties
space group: Immm
total moment: 0.0000 μB per atom
energy of formation from the pure elements: -0.558 eV per atom
volume: 28.9 A^3/atom
energy: -5.142 eV/atom

***

No. 4
The following is a PBE calculation of crystalline Sm3Ge2Pb at its relaxed geometry, from the Alexandria database.

The structure in POSCAR format:
```
Sm3Ge2Pb
1.0
2.020 -8.419 0.000
2.020 8.419 0.000
0.000 0.000 4.706
Sm Ge Pb
3 2 1
Cartesian
0.000 0.000 0.000 Sm
2.020 5.623 2.353 Sm
2.020 -5.623 2.353 Sm
2.020 3.235 0.000 Ge
2.020 -3.235 0.000 Ge
2.020 0.000 2.353 Pb
```

Properties
space group: Cmmm
total moment: 0.0000 μB per atom
energy above the most stable polymorph in this dataset: 0.076 eV/atom
energy of formation from the pure elements: -0.567 eV per atom
volume: 26.7 A^3/atom
energy: -5.083 eV/atom

***

No. 5
The following is a PBE calculation of crystalline Sm5Ge2Pb2 at its relaxed geometry, from the Alexandria database.

The structure in POSCAR format:
```
Sm5Ge2Pb2
1.0
7.876 -4.068 0.000
7.876 4.068 0.000
0.000 0.000 8.107
Sm Ge Pb
10 4 4
Cartesian
0.000 0.000 0.000 Sm
5.873 2.668 5.429 Sm
5.873 1.399 1.375 Sm
9.880 2.668 5.429 Sm
9.880 1.399 1.375 Sm
7.876 0.000 4.053 Sm
5.873 -1.399 6.732 Sm
5.873 -2.668 2.678 Sm
9.880 -1.399 6.732 Sm
9.880 -2.668 2.678 Sm
7.876 2.995 2.975 Ge
7.876 1.073 7.028 Ge
7.876 -1.073 1.079 Ge
7.876 -2.995 5.132 Ge
3.337 0.000 0.000 Pb
4.540 0.000 4.053 Pb
11.213 0.000 4.053 Pb
12.416 0.000 0.000 Pb
```

Properties
space group: Cmce
total moment: 0.0000 μB per atom
energy of formation from the pure elements: -0.698 eV per atom
volume: 28.9 A^3/atom
energy: -5.170 eV/atom

***

No. 6
The following is a PBE calculation of crystalline Sm6GeTe3Pb2 at its relaxed geometry, from the Alexandria database.

The structure in POSCAR format:
```
Sm6GeTe3Pb2
1.0
9.728 -2.214 0.000
9.728 2.214 0.000
-2.091 0.000 8.720
Sm Ge Te Pb
6 1 3 2
Cartesian
-0.466 0.000 1.992 Sm
5.602 0.000 3.664 Sm
4.738 0.000 8.013 Sm
12.627 0.000 0.707 Sm
11.763 0.000 5.056 Sm
17.831 0.000 6.728 Sm
9.728 0.000 0.000 Ge
1.532 0.000 7.276 Te
8.682 0.000 4.360 Te
15.833 0.000 1.444 Te
2.545 0.000 2.898 Pb
14.820 0.000 5.822 Pb
```

Properties
space group: C2/m
total moment: 0.0000 μB per atom
volume: 31.3 A^3/atom
uncorrected formation energy: -1.07 eV per atom
energy: -5.214 eV/atom